(1)
Entry from the Alexandria database: a geometry-optimized BaTiHg structure (PBE).

Summary:
**Density of states at the Fermi level**: 1.2551 states/eV/atom
**E above lowest polymorph**: 0.074 eV per atom
**Energy relative to the elements**: 10 kJ per mole of atoms

Lattice parameters (Å, degrees): 6.258 6.258 6.258 112.96 91.07 126.25
Fractional positions:
Ba 0.122 0.250 0.372
Ba 0.878 0.750 0.628
Ti 0.047 0.536 0.011
Ti 0.525 0.036 0.989
Hg 0.507 0.007 0.500
Hg 0.507 0.507 0.000

=====

(2)
Entry from the Alexandria database: a geometry-optimized Y2GaPd8 structure (PBE).

Summary:
**Density of states at the Fermi level**: 0.3658 states/eV/atom
**Energy relative to the elements**: -63 kJ per mole of atoms

Lattice parameters (Å, degrees): 7.993 7.993 5.973 111.89 111.89 33.64
Fractional positions:
Y 0.190 0.190 0.190
Y 0.810 0.810 0.810
Ga 0.500 0.500 0.500
Pd 0.000 0.000 0.252
Pd 0.000 0.000 0.748
Pd 0.179 0.179 0.679
Pd 0.367 0.367 0.106
Pd 0.367 0.367 0.627
Pd 0.633 0.633 0.373
Pd 0.633 0.633 0.894
Pd 0.821 0.821 0.321

=====

(3)
Entry from the Alexandria database: a geometry-optimized ZrOsI3 structure (PBE).

Summary:
**Density of states at the Fermi level**: 1.4759 states/eV/atom
**E above lowest polymorph**: 0.000 eV per atom
**Formation energy without anion corrections**: 4.93 eV/f.u.

Lattice parameters (Å, degrees): 5.325 5.325 5.325 90.00 90.00 90.00
Fractional positions:
Zr 0.000 0.000 0.000
Os 0.500 0.500 0.500
I 0.000 0.500 0.500
I 0.500 0.000 0.500
I 0.500 0.500 0.000